Record 1
First-principles (PBE) data for ScSnBr2 after structural relaxation, as listed in Alexandria.

Output
Total energy ... -4.08 eV/atom
Total moment ... 3.7 Bohr magnetons per cell

Lattice parameters (Å, degrees): 9.174 9.174 6.067 90.00 90.00 90.00
Space group I-42d (No. 122)
Symmetry-distinct sites (fractional):
Sc1 0.000 0.000 0.000 [4 per cell]
Sn1 0.000 0.000 0.500 [4 per cell]
Br1 0.126 0.250 0.125 [8 per cell]


Record 2
First-principles (PBE) data for ScSnTeBr2 after structural relaxation, as listed in Alexandria.

Output
Total energy ... -3.47 eV/atom
Total moment ... 1.1 Bohr magnetons per cell

Lattice parameters (Å, degrees): 5.480 5.480 6.099 90.00 90.00 90.00
Space group P4/mmm (No. 123)
Symmetry-distinct sites (fractional):
Sc1 0.000 0.000 0.000 [1 per cell]
Sn1 0.500 0.500 0.500 [1 per cell]
Te1 0.500 0.500 0.000 [1 per cell]
Br1 0.000 0.500 0.500 [2 per cell]